{
  "formula": "CsCa3Cu4Cl12",
  "functional": "PBE",
  "state": "relaxed",
  "lattice": [[-5.608, 0.446, 6.838], [-2.979, -6.746, -4.901], [7.574, -2.955, 3.507]],
  "species": ["Cu", "Cl", "Ca", "Cl", "Cs", "Cu", "Cl", "Cl", "Ca", "Ca", "Cl", "Cl", "Cl", "Cl", "Cl", "Cl", "Cu", "Cl", "Cl", "Cu"],
  "fractional_positions": [[0.500, 0.500, 0.500], [0.091, 0.909, 0.500], [0.000, 0.565, 0.435], [0.994, 0.246, 0.369], [0.000, 0.000, 0.000], [0.500, 0.925, 0.075], [0.006, 0.631, 0.754], [0.500, 0.340, 0.660], [0.435, 0.000, 0.565], [0.565, 0.435, 0.000], [0.909, 0.500, 0.091], [0.631, 0.754, 0.006], [0.754, 0.006, 0.631], [0.500, 0.091, 0.909], [0.369, 0.994, 0.246], [0.246, 0.369, 0.994], [0.075, 0.500, 0.925], [0.340, 0.660, 0.500], [0.660, 0.500, 0.340], [0.925, 0.075, 0.500]],
  "total_energy_ev_per_atom": -3.74,
  "formation_energy_uncorrected_kj_per_mol_fu": -2841.8,
  "dos_ef_per_ev_fu": 12.9,
  "magmom_total_mub_per_fu": 1.124,
  "vol_a3_per_fu": 612
}

{
  "formula": "HoSn2Ge2Pd7",
  "functional": "PBE",
  "state": "relaxed",
  "lattice": [[-2.236, 1.197, -3.118], [-0.658, -3.820, -1.065], [-12.727, -1.428, 6.295]],
  "species": ["Pd", "Pd", "Ge", "Pd", "Pd", "Ge", "Pd", "Pd", "Sn", "Ho", "Sn", "Pd"],
  "fractional_positions": [[0.934, 0.432, 0.152], [0.066, 0.568, 0.848], [0.391, 0.391, 0.258], [0.651, 0.651, 0.567], [0.349, 0.349, 0.433], [0.609, 0.609, 0.742], [0.500, 0.500, 0.000], [0.432, 0.934, 0.152], [0.115, 0.115, 0.619], [0.000, 0.000, 0.000], [0.885, 0.885, 0.381], [0.568, 0.066, 0.848]],
  "total_energy_ev_per_atom": -5.34,
  "dos_ef_per_ev_fu": 3.4,
  "ef_ev_per_atom": -0.491,
  "magmom_total_mub_per_fu": 0.000,
  "vol_a3_per_fu": 227
}

{
  "formula": "NaIn2SnF6",
  "functional": "PBE",
  "state": "relaxed",
  "lattice": [[7.232, 0.316, 0.513], [-3.390, 4.741, -0.402], [-3.308, -1.898, 4.846]],
  "species": ["In", "Sn", "F", "Na", "F", "F", "F", "F", "F", "In"],
  "fractional_positions": [[0.594, 0.747, 0.352], [0.047, 0.083, 0.034], [0.001, 0.190, 0.670], [0.976, 0.510, 0.484], [0.867, 0.671, 0.709], [0.828, 0.757, 0.205], [0.535, 0.051, 0.191], [0.976, 0.379, 0.133], [0.603, 0.853, 0.718], [0.538, 0.236, 0.806]],
  "total_energy_ev_per_atom": -4.35,
  "formation_energy_uncorrected_kj_per_mol_fu": -2070.3,
  "dos_ef_per_ev_fu": 2.9,
  "magmom_total_mub_per_fu": 0.000,
  "vol_a3_per_fu": 178
}

{
  "formula": "Nb3CrRh",
  "functional": "PBE",
  "state": "relaxed",
  "lattice": [[-0.451, -4.736, -0.294], [3.510, -0.134, -3.222], [3.193, -0.521, 3.500]],
  "species": ["Nb", "Cr", "Nb", "Rh", "Nb"],
  "fractional_positions": [[0.000, 0.500, 0.000], [0.500, 0.500, 0.500], [0.500, 0.000, 0.000], [0.000, 0.000, 0.000], [0.000, 0.000, 0.500]],
  "total_energy_ev_per_atom": -7.93,
  "dos_ef_per_ev_fu": 10.9,
  "polymorph_energy_ev_per_atom": 0.639,
  "ef_ev_per_atom": 1.508,
  "magmom_total_mub_per_fu": 0.000,
  "vol_a3_per_fu": 108
}

{
  "formula": "TcP2AuO",
  "functional": "PBE",
  "state": "relaxed",
  "lattice": [[4.763, 0.000, 0.000], [0.000, 4.763, 0.000], [0.000, 0.000, 3.684]],
  "species": ["P", "Au", "P", "O", "Tc"],
  "fractional_positions": [[0.000, 0.500, 0.000], [0.500, 0.500, 0.500], [0.500, 0.000, 0.000], [0.000, 0.000, 0.500], [0.000, 0.000, 0.000]],
  "total_energy_ev_per_atom": -5.88,
  "formation_energy_uncorrected_kj_per_mol_fu": 1.6,
  "dos_ef_per_ev_fu": 1.8,
  "polymorph_energy_ev_per_atom": 0.000,
  "magmom_total_mub_per_fu": 0.000,
  "vol_a3_per_fu": 84
}

{
  "formula": "Co2HgOs",
  "functional": "PBE",
  "state": "relaxed",
  "lattice": [[3.525, 0.000, 0.000], [0.000, 2.739, 0.011], [0.000, 2.723, 5.822]],
  "species": ["Co", "Co", "Os", "Hg"],
  "fractional_positions": [[0.000, 0.042, 0.958], [0.000, 0.458, 0.542], [0.500, 0.750, 0.750], [0.500, 0.250, 0.250]],
  "total_energy_ev_per_atom": -6.02,
  "dos_ef_per_ev_fu": 4.7,
  "ef_ev_per_atom": 0.419,
  "magmom_total_mub_per_fu": 0.869,
  "vol_a3_per_fu": 56
}